# 1
{"formula": "La3AlAs", "functional": "PBE-GGA", "state": "relaxed", "lattice_angstrom": [[5.683, 0.000, 0.000], [0.000, 5.683, 0.000], [0.000, 0.000, 5.683]], "species": ["As", "Al", "La", "La", "La"], "frac_coords": [[0.000, 0.000, 0.000], [0.500, 0.500, 0.500], [0.000, 0.500, 0.000], [0.000, 0.000, 0.500], [0.500, 0.000, 0.000]], "e_above_lowest_polymorph_kj_per_mol_atoms": 0.00, "total_magnetization_mub_per_atom": 0.000, "formation_enthalpy_0k_mev_per_atom": -403, "e_tot_ev_per_atom": -5.038}

# 2
{"formula": "NbB2S4", "functional": "PBE-GGA", "state": "relaxed", "lattice_angstrom": [[-4.407, 0.844, 3.356], [2.803, -4.836, -0.385], [3.844, 3.471, 2.140]], "species": ["Nb", "B", "B", "S", "S", "S", "S"], "frac_coords": [[0.500, 0.500, 0.000], [0.250, 0.750, 0.500], [0.750, 0.250, 0.500], [0.371, 0.157, 0.527], [0.843, 0.371, 0.214], [0.157, 0.629, 0.786], [0.629, 0.843, 0.473]], "total_magnetization_mub_per_atom": 0.429, "e_form_raw_mev_per_atom": -185.2, "e_tot_ev_per_atom": -5.890}

# 3
{"formula": "AcPm2Nd2Ho", "functional": "PBE-GGA", "state": "relaxed", "lattice_angstrom": [[5.827, 0.000, 0.000], [0.000, 7.283, 0.000], [0.000, 0.000, 10.061]], "species": ["Ac", "Ac", "Pm", "Pm", "Pm", "Pm", "Nd", "Nd", "Nd", "Nd", "Ho", "Ho"], "frac_coords": [[0.000, 0.008, 0.500], [0.000, 0.508, 0.500], [0.000, 0.257, 0.837], [0.500, 0.258, 0.328], [0.000, 0.757, 0.163], [0.500, 0.758, 0.672], [0.500, 0.007, 0.000], [0.000, 0.257, 0.165], [0.500, 0.507, 0.000], [0.000, 0.757, 0.835], [0.500, 0.258, 0.668], [0.500, 0.758, 0.332]], "total_magnetization_mub_per_atom": 0.000, "formation_enthalpy_0k_mev_per_atom": 60, "e_tot_ev_per_atom": -4.560}

# 4
{"formula": "Pr4CdAgAu2", "functional": "PBE-GGA", "state": "relaxed", "lattice_angstrom": [[-4.024, -3.515, 0.260], [-1.560, -2.610, -4.401], [3.835, -8.432, 0.390]], "species": ["Pr", "Pr", "Pr", "Pr", "Cd", "Ag", "Au", "Au"], "frac_coords": [[0.378, 0.378, 0.866], [0.872, 0.872, 0.383], [0.128, 0.128, 0.617], [0.622, 0.622, 0.134], [0.000, 0.000, 0.000], [0.500, 0.500, 0.500], [0.745, 0.745, 0.764], [0.255, 0.255, 0.236]], "total_magnetization_mub_per_atom": 0.000, "formation_enthalpy_0k_mev_per_atom": -501, "e_tot_ev_per_atom": -4.181}

# 5
{"formula": "ZnTcCl2", "functional": "PBE-GGA", "state": "relaxed", "lattice_angstrom": [[4.136, 0.000, 0.000], [0.000, 3.179, 0.013], [0.000, -0.005, 5.349]], "species": ["Zn", "Tc", "Cl", "Cl"], "frac_coords": [[0.500, 0.750, 0.750], [0.500, 0.250, 0.250], [0.000, 0.081, 0.013], [0.000, 0.419, 0.487]], "e_above_lowest_polymorph_kj_per_mol_atoms": 48.67, "total_magnetization_mub_per_atom": 0.339, "e_form_raw_mev_per_atom": 255.4, "e_tot_ev_per_atom": -3.578}

# 6
{"formula": "Sc5Cd2HgIr2", "functional": "PBE-GGA", "state": "relaxed", "lattice_angstrom": [[-3.451, 0.544, 0.020], [-0.537, -3.788, 10.482], [1.654, 10.351, 3.825]], "species": ["Sc", "Sc", "Sc", "Sc", "Sc", "Sc", "Sc", "Sc", "Sc", "Sc", "Cd", "Cd", "Cd", "Cd", "Hg", "Hg", "Ir", "Ir", "Ir", "Ir"], "frac_coords": [[0.500, 0.204, 0.080], [0.500, 0.796, 0.920], [0.500, 0.080, 0.796], [0.500, 0.704, 0.420], [0.500, 0.920, 0.204], [0.500, 0.296, 0.580], [0.500, 0.580, 0.704], [0.500, 0.420, 0.296], [0.500, 0.500, 0.000], [0.500, 0.000, 0.500], [0.000, 0.670, 0.170], [0.000, 0.330, 0.830], [0.000, 0.170, 0.330], [0.000, 0.830, 0.670], [0.000, 0.000, 0.000], [0.000, 0.500, 0.500], [0.000, 0.130, 0.630], [0.000, 0.870, 0.370], [0.000, 0.630, 0.870], [0.000, 0.370, 0.130]], "total_magnetization_mub_per_atom": 0.000, "formation_enthalpy_0k_mev_per_atom": -520, "e_tot_ev_per_atom": -5.671}

# 7
{"formula": "Be2IrAu", "functional": "PBE-GGA", "state": "relaxed", "lattice_angstrom": [[-3.477, -0.140, 0.409], [-1.434, -2.535, 1.948], [-1.280, 2.009, 4.824]], "species": ["Be", "Be", "Ir", "Au"], "frac_coords": [[0.073, 0.073, 0.780], [0.258, 0.258, 0.227], [0.676, 0.676, 0.973], [0.494, 0.494, 0.519]], "total_magnetization_mub_per_atom": 0.000, "formation_enthalpy_0k_mev_per_atom": -34, "e_tot_ev_per_atom": -4.932}

# 8
{"formula": "Cs2NpS4", "functional": "PBE-GGA", "state": "relaxed", "lattice_angstrom": [[4.151, 0.000, 0.000], [0.000, 8.585, 0.000], [0.000, 0.000, 13.603]], "species": ["Cs", "Cs", "Cs", "Cs", "Np", "Np", "S", "S", "S", "S", "S", "S", "S", "S"], "frac_coords": [[0.500, 0.936, 0.827], [0.500, 0.064, 0.173], [0.500, 0.436, 0.673], [0.500, 0.564, 0.327], [0.000, 0.000, 0.500], [0.000, 0.500, 0.000], [0.000, 0.619, 0.838], [0.000, 0.381, 0.162], [0.000, 0.119, 0.662], [0.000, 0.881, 0.338], [0.500, 0.825, 0.550], [0.500, 0.175, 0.450], [0.500, 0.675, 0.050], [0.500, 0.325, 0.950]], "e_above_lowest_polymorph_kj_per_mol_atoms": 5.34, "total_magnetization_mub_per_atom": 0.142, "e_form_raw_mev_per_atom": -1118.0, "e_tot_ev_per_atom": -5.569}

# 9
{"formula": "Y8Er6Tm", "functional": "PBE-GGA", "state": "relaxed", "lattice_angstrom": [[6.578, 0.000, 0.000], [0.000, 8.069, -4.659], [0.000, 0.000, 9.317]], "species": ["Y", "Y", "Y", "Y", "Y", "Y", "Y", "Y", "Er", "Er", "Er", "Er", "Er", "Er", "Tm"], "frac_coords": [[0.894, 0.975, 0.309], [0.894, 0.691, 0.666], [0.894, 0.334, 0.025], [0.106, 0.025, 0.691], [0.106, 0.309, 0.334], [0.106, 0.666, 0.975], [0.819, 0.333, 0.667], [0.181, 0.667, 0.333], [0.596, 0.678, 0.085], [0.596, 0.915, 0.593], [0.596, 0.407, 0.322], [0.404, 0.322, 0.915], [0.404, 0.085, 0.407], [0.404, 0.593, 0.678], [0.500, 0.000, 0.000]], "e_above_lowest_polymorph_kj_per_mol_atoms": 6.42, "total_magnetization_mub_per_atom": 0.000, "formation_enthalpy_0k_mev_per_atom": 254, "e_tot_ev_per_atom": -5.317}

# 10
{"formula": "FeAsAuBr2", "functional": "PBE-GGA", "state": "relaxed", "lattice_angstrom": [[5.023, 0.000, 0.000], [0.000, 5.023, 0.000], [0.000, 0.000, 4.444]], "species": ["As", "Au", "Fe", "Br", "Br"], "frac_coords": [[0.000, 0.000, 0.500], [0.500, 0.500, 0.500], [0.000, 0.000, 0.000], [0.000, 0.500, 0.000], [0.500, 0.000, 0.000]], "e_above_lowest_polymorph_kj_per_mol_atoms": 0.00, "total_magnetization_mub_per_atom": 0.000, "e_form_raw_mev_per_atom": 523.2, "e_tot_ev_per_atom": -3.424}

# 11
{"formula": "RbNb2W", "functional": "PBE-GGA", "state": "relaxed", "lattice_angstrom": [[0.000, 3.434, 3.434], [3.434, 0.000, 3.434], [3.434, 3.434, 0.000]], "species": ["Nb", "Nb", "Rb", "W"], "frac_coords": [[0.250, 0.250, 0.250], [0.750, 0.750, 0.750], [0.000, 0.000, 0.000], [0.500, 0.500, 0.500]], "e_above_lowest_polymorph_kj_per_mol_atoms": 0.00, "total_magnetization_mub_per_atom": 0.000, "formation_enthalpy_0k_mev_per_atom": 1601, "e_tot_ev_per_atom": -6.914}

# 12
{"formula": "ErAlZnPt2", "functional": "PBE-GGA", "state": "relaxed", "lattice_angstrom": [[3.861, 0.000, 0.000], [0.000, 3.861, 0.000], [-1.931, -1.931, 6.142]], "species": ["Er", "Al", "Zn", "Pt", "Pt"], "frac_coords": [[0.000, 0.000, 0.000], [0.750, 0.250, 0.500], [0.250, 0.750, 0.500], [0.611, 0.611, 0.221], [0.389, 0.389, 0.779]], "total_magnetization_mub_per_atom": 0.000, "formation_enthalpy_0k_mev_per_atom": -972, "e_tot_ev_per_atom": -5.305}